VASP calculation (PBE) on a relaxed KGeOs2F crystal.

The space group is P4/mmm (No. 123) and the conventional cell measures 4.633, 4.633 and 5.605 Å, with angles of 90.00, 90.00 and 90.00 degrees. The distinct sites, in fractional coordinates, are K at (0.000, 0.000, 0.000), Ge at (0.500, 0.500, 0.500), Os at (0.000, 0.500, 0.500) and F at (0.500, 0.500, 0.000).

Its formation energy from raw total energies is 0.841 eV/atom. The total DFT energy (no corrections) is -5.168 eV per atom.